Entry 1:
DFT (PBE) results for crystalline TaFeBiAu at its relaxed geometry.

Unit cell a=4.6614 b=4.6614 c=4.6614 alpha=60.00 beta=60.00 gamma=60.00
Last column: nearest neighbours and their distance in Å.
Fractional positions:
Bi  0.0000  0.0000  0.0000  4 Ta 2.85, 4 Fe 2.85
Ta  0.2500  0.2500  0.2500  4 Au 2.85, 4 Bi 2.85
Au  0.5000  0.5000  0.5000  4 Ta 2.85, 4 Fe 2.85
Fe  0.7500  0.7500  0.7500  4 Au 2.85, 4 Bi 2.85

Properties
Volume (Å³ per cell): 71.62
Total moment (Bohr magnetons per cell): 1.50
Energy above the most stable polymorph in this dataset (meV per atom): 0.0
Total energy (eV per formula unit): -25.36

Entry 2:
DFT (PBE) results for crystalline GdDyGa2Pd4 at its relaxed geometry.

Unit cell a=4.4107 b=4.4107 c=9.0871 alpha=90.00 beta=90.00 gamma=120.00
Last column: nearest neighbours and their distance in Å.
Fractional positions:
Gd  0.6667  0.3333  0.5000  8 Pd 2.99-3.01
Dy  0.0000  0.0000  0.0000  8 Pd 2.97-2.98
Ga  0.3333  0.6667  0.2489  6 Pd 2.65
Pd  0.6667  0.3333  0.8317  3 Ga 2.65, 3 Pd 2.93
Pd  0.0000  0.0000  0.6717  3 Ga 2.65, 3 Pd 2.93
Ga  0.3333  0.6667  0.7511  6 Pd 2.65
Pd  0.6667  0.3333  0.1683  3 Ga 2.65, 3 Pd 2.93
Pd  0.0000  0.0000  0.3283  3 Ga 2.65, 3 Pd 2.93

Properties
Volume (Å³ per cell): 153.10
Total moment (Bohr magnetons per cell): 0.00
Total energy (eV per formula unit): -43.14

Entry 3:
DFT (PBE) results for crystalline TbGdTa2Sn2 at its relaxed geometry.

Unit cell a=4.1966 b=4.1966 c=8.1982 alpha=90.00 beta=90.00 gamma=90.00
Last column: nearest neighbours and their distance in Å.
Fractional positions:
Ta  0.0000  0.5000  0.0003  4 Sn 2.94, 4 Ta 2.97
Ta  0.5000  0.0000  0.0003  4 Sn 2.94, 4 Ta 2.97
Sn  0.0000  0.0000  0.2515  4 Ta 2.94, 4 Tb 3.07, 1 Gd 3.26
Sn  0.5000  0.5000  0.7491  4 Ta 2.94, 4 Gd 3.08, 1 Tb 3.27
Tb  0.5000  0.5000  0.3498  5 Sn 3.07-3.27
Gd  0.0000  0.0000  0.6490  5 Sn 3.08-3.26

Properties
Volume (Å³ per cell): 144.38
Total moment (Bohr magnetons per cell): 1.00
Total energy (eV per formula unit): -43.21